[1]
## Be2Cr2Ag (PBE)

Data for Be2Cr2Ag after structural relaxation.

CIF file:
```
data_Be2Cr2Ag
_chemical_formula_sum 'Be4 Cr4 Ag2'
_space_group_name_H-M_alt 'P 4/m b m'
_space_group_IT_number 127
_space_group_name_Hall '-P 4 2ab'
_cell_length_a 6.1900
_cell_length_b 6.1900
_cell_length_c 3.1010
_cell_angle_alpha 90.00
_cell_angle_beta 90.00
_cell_angle_gamma 90.00
loop_
_atom_site_label
_atom_site_fract_x
_atom_site_fract_y
_atom_site_fract_z
Be1 0.1247 0.3753 0.0000
Cr1 0.1641 0.6641 0.5000
Ag1 0.0000 0.0000 0.0000
```

Calculated values
* ΔH_f (0 K): 30 kJ per mole of atoms
* ρ: 6.43 g cm⁻³


[2]
## LiCoAg2 (PBE)

Data for LiCoAg2 after structural relaxation.

CIF file:
```
data_LiCoAg2
_chemical_formula_sum 'Li2 Co2 Ag4'
_space_group_name_H-M_alt 'C 1 m 1'
_space_group_IT_number 8
_space_group_name_Hall 'C -2y'
_cell_length_a 9.3764
_cell_length_b 2.7247
_cell_length_c 4.7947
_cell_angle_alpha 90.00
_cell_angle_beta 99.21
_cell_angle_gamma 90.00
loop_
_atom_site_label
_atom_site_fract_x
_atom_site_fract_y
_atom_site_fract_z
Li1 0.0000 0.0000 0.0000
Co1 0.2522 0.0000 0.7190
Ag1 0.0080 0.5000 0.5200
Ag2 0.2530 0.5000 0.2143
```

Calculated values
* ΔH_f (0 K): 17 kJ per mole of atoms
* ρ: 7.73 g cm⁻³


[3]
## SrO4 (PBE)

Data for SrO4 after structural relaxation.

CIF file:
```
data_SrO4
_chemical_formula_sum 'Sr1 O4'
_space_group_name_H-M_alt 'P 1'
_space_group_IT_number 1
_space_group_name_Hall 'P 1'
_cell_length_a 4.2845
_cell_length_b 4.2911
_cell_length_c 4.5747
_cell_angle_alpha 79.60
_cell_angle_beta 79.46
_cell_angle_gamma 61.45
loop_
_atom_site_label
_atom_site_fract_x
_atom_site_fract_y
_atom_site_fract_z
Sr1 0.0000 0.0000 0.0000
O1 0.0770 0.5344 0.6638
O2 0.3791 0.3581 0.7995
O3 0.4645 0.9233 0.3376
O4 0.6410 0.6217 0.2009
```

Calculated values
* raw formation energy: -5.11 eV per formula unit
* ρ: 3.49 g cm⁻³


[4]
## Pm3Cd9In2 (PBE)

Data for Pm3Cd9In2 after structural relaxation.

CIF file:
```
data_Pm3Cd9In2
_chemical_formula_sum 'Pm6 Cd18 In4'
_space_group_name_H-M_alt 'I m m m'
_space_group_IT_number 71
_space_group_name_Hall '-I 2 2'
_cell_length_a 4.7857
_cell_length_b 10.5899
_cell_length_c 13.7760
_cell_angle_alpha 90.00
_cell_angle_beta 90.00
_cell_angle_gamma 90.00
loop_
_atom_site_label
_atom_site_fract_x
_atom_site_fract_y
_atom_site_fract_z
Pm1 0.0000 0.0000 0.0000
Pm2 0.0000 0.0000 0.2972
Cd1 0.0000 0.2800 0.1452
Cd2 0.0000 0.3698 0.3460
Cd3 0.0000 0.5000 0.0000
In1 0.0000 0.1831 0.5000
```

Calculated values
* ΔH_f (0 K): -26 kJ per mole of atoms
* ρ: 7.97 g cm⁻³


no.,N(E_F) (states/eV/cell)
1,3.992
2,8.537
3,2.630
4,17.414